Record 1
# HoBeIr (PBE, optimized geometry)
# Energy above the most stable polymorph in this dataset (eV/atom): 0.000
# ΔH_f (0 K) (eV/atom): -0.678
# Calculated total energy (Ry/atom): -0.470
# Magnetic moment (μB per cell): 0.0
# Space group: No. 187
data_HoBeIr
_symmetry_space_group_name_H-M 'P 1'
_symmetry_Int_Tables_number 1
_symmetry_space_group_name_Hall 'P 1'
_cell_length_a 3.963
_cell_length_b 3.915
_cell_length_c 3.915
_cell_angle_alpha 120.00
_cell_angle_beta 90.00
_cell_angle_gamma 90.00
loop_
_atom_site_label
_atom_site_type_symbol
_atom_site_fract_x
_atom_site_fract_y
_atom_site_fract_z
Ir1 Ir 0.167 0.000 0.000
Ho1 Ho 0.667 0.333 0.667
Be1 Be 0.167 0.667 0.333

Record 2
# SmTmTh3 (PBE, optimized geometry)
# ΔH_f (0 K) (eV/atom): 0.391
# Calculated total energy (Ry/atom): -0.434
# Magnetic moment (μB per cell): 0.0
# Space group: No. 74
data_SmTmTh3
_symmetry_space_group_name_H-M 'P 1'
_symmetry_Int_Tables_number 1
_symmetry_space_group_name_Hall 'P 1'
_cell_length_a 5.982
_cell_length_b 11.811
_cell_length_c 8.289
_cell_angle_alpha 135.44
_cell_angle_beta 111.15
_cell_angle_gamma 90.00
loop_
_atom_site_label
_atom_site_type_symbol
_atom_site_fract_x
_atom_site_fract_y
_atom_site_fract_z
Th1 Th 0.000 0.000 0.500
Th2 Th 0.000 0.500 0.500
Sm1 Sm 0.500 0.000 0.000
Tm1 Tm 0.308 0.250 0.500
Th3 Th 0.668 0.668 0.836
Sm2 Sm 0.000 0.500 0.000
Tm2 Tm 0.692 0.750 0.500
Th4 Th 0.332 0.332 0.164
Th5 Th 0.332 0.832 0.164
Th6 Th 0.668 0.168 0.836

Record 3
# IrRh3 (PBE, optimized geometry)
# ΔH_f (0 K) (eV/atom): 0.419
# Calculated total energy (Ry/atom): -0.537
# Magnetic moment (μB per cell): 2.2
# Space group: No. 166
data_IrRh3
_symmetry_space_group_name_H-M 'P 1'
_symmetry_Int_Tables_number 1
_symmetry_space_group_name_Hall 'P 1'
_cell_length_a 5.110
_cell_length_b 5.110
_cell_length_c 5.110
_cell_angle_alpha 116.97
_cell_angle_beta 116.97
_cell_angle_gamma 116.97
loop_
_atom_site_label
_atom_site_type_symbol
_atom_site_fract_x
_atom_site_fract_y
_atom_site_fract_z
Rh1 Rh 0.500 0.500 0.000
Ir1 Ir 0.000 0.000 0.000
Rh2 Rh 0.500 0.000 0.500
Rh3 Rh 0.000 0.500 0.500

Record 4
# Dy3ZnCo3 (PBE, optimized geometry)
# ΔH_f (0 K) (eV/atom): -0.273
# Calculated total energy (Ry/atom): -0.402
# Magnetic moment (μB per cell): 1.4
# Space group: No. 63
data_Dy3ZnCo3
_symmetry_space_group_name_H-M 'P 1'
_symmetry_Int_Tables_number 1
_symmetry_space_group_name_Hall 'P 1'
_cell_length_a 4.118
_cell_length_b 5.337
_cell_length_c 12.903
_cell_angle_alpha 90.00
_cell_angle_beta 90.00
_cell_angle_gamma 112.69
loop_
_atom_site_label
_atom_site_type_symbol
_atom_site_fract_x
_atom_site_fract_y
_atom_site_fract_z
Co1 Co 0.912 0.823 0.903
Dy1 Dy 0.508 0.017 0.250
Co2 Co 0.208 0.417 0.250
Dy2 Dy 0.798 0.595 0.102
Zn1 Zn 0.500 0.000 0.500
Co3 Co 0.088 0.177 0.403
Dy3 Dy 0.798 0.595 0.398
Dy4 Dy 0.202 0.405 0.898
Dy5 Dy 0.492 0.983 0.750
Zn2 Zn 0.500 0.000 0.000
Co4 Co 0.912 0.823 0.597
Dy6 Dy 0.202 0.405 0.602
Co5 Co 0.792 0.583 0.750
Co6 Co 0.088 0.177 0.097

Record 5
# Sm8Tm3 (PBE, optimized geometry)
# Energy above the most stable polymorph in this dataset (eV/atom): 0.000
# ΔH_f (0 K) (eV/atom): 0.371
# Calculated total energy (Ry/atom): -0.315
# Magnetic moment (μB per cell): 0.0
# Space group: No. 148
data_Sm8Tm3
_symmetry_space_group_name_H-M 'P 1'
_symmetry_Int_Tables_number 1
_symmetry_space_group_name_Hall 'P 1'
_cell_length_a 7.543
_cell_length_b 7.543
_cell_length_c 7.543
_cell_angle_alpha 105.40
_cell_angle_beta 105.40
_cell_angle_gamma 105.40
loop_
_atom_site_label
_atom_site_type_symbol
_atom_site_fract_x
_atom_site_fract_y
_atom_site_fract_z
Sm1 Sm 0.177 0.073 0.683
Sm2 Sm 0.683 0.177 0.073
Sm3 Sm 0.729 0.729 0.729
Sm4 Sm 0.927 0.317 0.823
Tm1 Tm 0.000 0.500 0.500
Sm5 Sm 0.317 0.823 0.927
Sm6 Sm 0.073 0.683 0.177
Tm2 Tm 0.500 0.500 0.000
Sm7 Sm 0.271 0.271 0.271
Tm3 Tm 0.500 0.000 0.500
Sm8 Sm 0.823 0.927 0.317

Record 6
# Ba2LaZn (PBE, optimized geometry)
# ΔH_f (0 K) (eV/atom): 0.043
# Calculated total energy (Ry/atom): -0.181
# Magnetic moment (μB per cell): 0.0
# Space group: No. 123
data_Ba2LaZn
_symmetry_space_group_name_H-M 'P 1'
_symmetry_Int_Tables_number 1
_symmetry_space_group_name_Hall 'P 1'
_cell_length_a 4.027
_cell_length_b 4.027
_cell_length_c 10.144
_cell_angle_alpha 90.00
_cell_angle_beta 90.00
_cell_angle_gamma 89.99
loop_
_atom_site_label
_atom_site_type_symbol
_atom_site_fract_x
_atom_site_fract_y
_atom_site_fract_z
La1 La 0.500 0.500 0.250
Ba1 Ba 0.000 0.000 0.551
Zn1 Zn 0.500 0.500 0.750
Ba2 Ba 0.000 0.000 0.949

Question: Which value of calculated total energy does entry 5 give?
Answer: -0.315 Ry/atom

Question: Among the records above, which one has the lowest ΔH_f (0 K)?
Answer: HoBeIr

Question: Which formula does entry 2 have?
Answer: SmTmTh3